TbGaAsO: optimized geometry, PBE.

The structure in CIF format:
```
data_TbGaAsO
_chemical_formula_sum 'Tb2 Ga2 As2 O2'
_cell_length_a 4.3199
_cell_length_b 4.3199
_cell_length_c 9.5305
_cell_angle_alpha 90.00
_cell_angle_beta 90.00
_cell_angle_gamma 90.00
_symmetry_space_group_name_H-M 'P 4/n m m'
_symmetry_Int_Tables_number 129
loop_
_symmetry_equiv_pos_as_xyz
'x,y,z'
'-x,-y,-z'
'-y+1/2,x,z'
'y+1/2,-x,-z'
'-x+1/2,-y+1/2,z'
'x+1/2,y+1/2,-z'
'y,-x+1/2,z'
'-y,x+1/2,-z'
'x+1/2,-y,-z'
'-x+1/2,y,z'
'-y,-x,-z'
'y,x,z'
'-x,y+1/2,-z'
'x,-y+1/2,z'
'y+1/2,x+1/2,-z'
'-y+1/2,-x+1/2,z'
loop_
_atom_site_label
_atom_site_type_symbol
_atom_site_fract_x
_atom_site_fract_y
_atom_site_fract_z
Tb1 Tb 0.2500 0.7500 0.0000
Ga1 Ga 0.2500 0.2500 0.4512
As1 As 0.2500 0.2500 0.1910
O1 O 0.2500 0.7500 0.5000
```

Energy, eV per cell: -39.7
Total moment, μB/cell: 0.01
E above lowest polymorph, meV/atom: 964.7